Entry 1:
Computed, not measured: AgHg2I after structural relaxation at the PBE level of DFT.

Calculated values
Relative energy among the computed polymorphs = 0.43 kcal/mol of atoms

Cell lengths 4.2754, 4.2754, 13.8615 Å; angles 90.00, 90.00, 90.00 degrees
With the nearest neighbours (Å) after each atom.
Space group I4/mmm (No. 139)
Symmetry-distinct sites (fractional):
1 Ag 0.0000 0.0000 0.0000 x2  2 Hg 2.92, 4 I 3.02
2 Hg 0.0000 0.0000 0.2106 x4  1 Ag 2.92, 4 Hg 3.21
3 I 0.0000 0.0000 0.5000 x2  4 Ag 3.02

Entry 2:
Computed, not measured: AgHg2I after structural relaxation at the PBE level of DFT.

Calculated values
Relative energy among the computed polymorphs = 0.54 kcal/mol of atoms

Cell lengths 4.6034, 5.6577, 7.3481 Å; angles 112.63, 108.10, 90.02 degrees
With the nearest neighbours (Å) after each atom.
Space group P1 (No. 1)
Symmetry-distinct sites (fractional):
1 Ag 0.0000 0.0000 0.0000 x1  3 Hg 2.79-2.90, 2 I 2.80
2 Hg 0.7818 0.7834 0.5627 x1  1 Ag 2.79
3 Hg 0.9488 0.4500 0.8997 x1  2 Ag 2.90
4 I 0.6238 0.1264 0.2498 x1  2 Ag 2.80

Entry 3:
Computed, not measured: In2AgHgI after structural relaxation at the PBE level of DFT.

Cell lengths 5.5137, 5.5137, 5.4099 Å; angles 90.00, 90.00, 90.00 degrees
With the nearest neighbours (Å) after each atom.
Space group P4/mmm (No. 123)
Symmetry-distinct sites (fractional):
1 In 0.0000 0.5000 0.0000 x2  2 Ag 2.76
2 Ag 0.0000 0.0000 0.0000 x1  2 Hg 2.70, 4 In 2.76
3 Hg 0.0000 0.0000 0.5000 x1  2 Ag 2.70
4 I 0.5000 0.5000 0.5000 x1  8 In 3.86, 4 Hg 3.90

Entry 4:
Computed, not measured: In2AgHg2I6 after structural relaxation at the PBE level of DFT.

Cell lengths 16.1900, 8.4464, 8.1628 Å; angles 90.00, 103.48, 90.00 degrees
With the nearest neighbours (Å) after each atom.
Space group C2/m (No. 12)
Symmetry-distinct sites (fractional):
1 In 0.0011 0.0000 0.1795 x4  3 I 2.76-2.79, 1 In 2.92
2 Ag 0.0000 0.5000 0.5000 x2  2 Hg 2.92, 4 I 3.00
3 Hg 0.1514 0.5000 0.3630 x4  1 Ag 2.92
4 I 0.0891 0.2661 0.7573 x8  1 In 2.79, 1 Ag 3.00
5 I 0.1708 0.0000 0.3419 x4  1 In 2.76

Entry 5:
Computed, not measured: InAgHg2I after structural relaxation at the PBE level of DFT.

Cell lengths 5.4731, 5.4731, 5.5892 Å; angles 90.00, 90.00, 90.00 degrees
With the nearest neighbours (Å) after each atom.
Space group P4/mmm (No. 123)
Symmetry-distinct sites (fractional):
1 In 0.0000 0.0000 0.0000 x1  2 Ag 2.79
2 Ag 0.0000 0.0000 0.5000 x1  4 Hg 2.74, 2 In 2.79
3 Hg 0.0000 0.5000 0.5000 x2  2 Ag 2.74
4 I 0.5000 0.5000 0.0000 x1  4 In 3.87, 8 Hg 3.91

Entry 6:
Computed, not measured: K2AgHgI6 after structural relaxation at the PBE level of DFT.

Cell lengths 7.5066, 7.5246, 9.4454 Å; angles 68.76, 68.48, 64.49 degrees
With the nearest neighbours (Å) after each atom.
Space group P1 (No. 1)
Symmetry-distinct sites (fractional):
1 K 0.0000 0.0000 0.0000 x1  7 I 3.65-3.81
2 K 0.4099 0.3997 0.6248 x1  7 I 3.65-3.81
3 Ag 0.7049 0.6996 0.8126 x1  4 I 2.81
4 Hg 0.2056 0.1994 0.3117 x1  2 I 2.68
5 I 0.0083 0.5117 0.9795 x1  1 Ag 2.81
6 I 0.4018 0.8879 0.6454 x1  1 Ag 2.81
7 I 0.4386 0.4293 0.2152 x1  1 Hg 2.68
8 I 0.5133 0.0047 0.9788 x1  1 Ag 2.81
9 I 0.8967 0.3947 0.6461 x1  1 Ag 2.81
10 I 0.9722 0.9696 0.4095 x1  1 Hg 2.68

Number 1: E_form (uncorrected) -0.3 eV/f.u.. Number 2: E_form (uncorrected) -0.3 eV/f.u.. Number 3: E_form (uncorrected) -0.3 eV/f.u.. Number 4: E_form (uncorrected) -2.8 eV/f.u.. Number 5: E_form (uncorrected) -0.3 eV/f.u.. Number 6: E_form (uncorrected) -6.8 eV/f.u..